(1)
{
  "formula": "InAg15",
  "functional": "PBE",
  "state": "optimized geometry",
  "lattice": [[-1.663, -5.137, 2.152], [1.576, -1.871, -3.247], [29.935, -2.893, 16.200]],
  "species": ["Ag", "Ag", "Ag", "Ag", "Ag", "Ag", "Ag", "Ag", "Ag", "Ag", "Ag", "Ag", "Ag", "Ag", "Ag", "Ag", "Ag", "Ag", "Ag", "Ag", "Ag", "Ag", "Ag", "Ag", "Ag", "Ag", "Ag", "Ag", "Ag", "Ag", "In", "In"],
  "frac_coords": [[0.624, 0.000, 0.176], [0.875, 0.500, 0.217], [0.374, 0.500, 0.217], [0.625, 0.000, 0.262], [0.125, 0.000, 0.263], [0.874, 0.500, 0.305], [0.374, 0.500, 0.305], [0.624, 0.000, 0.349], [0.124, 0.000, 0.349], [0.875, 0.500, 0.392], [0.374, 0.500, 0.392], [0.625, 0.000, 0.435], [0.124, 0.000, 0.435], [0.875, 0.500, 0.478], [0.375, 0.500, 0.479], [0.625, 0.000, 0.522], [0.125, 0.000, 0.522], [0.876, 0.500, 0.565], [0.375, 0.500, 0.565], [0.626, 0.000, 0.608], [0.125, 0.000, 0.608], [0.876, 0.500, 0.651], [0.376, 0.500, 0.651], [0.626, 0.000, 0.695], [0.126, 0.000, 0.695], [0.875, 0.500, 0.737], [0.375, 0.500, 0.738], [0.626, 0.000, 0.783], [0.125, 0.000, 0.783], [0.376, 0.500, 0.824], [0.124, 0.000, 0.170], [0.876, 0.500, 0.830]],
  "relative_energy_ev_per_fu": 0.33,
  "sg": "P2_1/m, No. 11"
}


(2)
{
  "formula": "HoUPa",
  "functional": "PBE",
  "state": "optimized geometry",
  "lattice": [[-4.119, -2.774, -0.466], [-4.327, 1.626, 1.875], [-3.656, 1.458, -3.065]],
  "species": ["Ho", "Pa", "U"],
  "frac_coords": [[0.250, 0.250, 0.250], [0.750, 0.750, 0.750], [0.000, 0.000, 0.000]],
  "relative_energy_ev_per_fu": 0.00,
  "formation_enthalpy_0k_ev_per_atom": 1.14,
  "sg": "F-43m, No. 216",
  "m_tot_mub_per_cell": 6.000
}


(3)
{
  "formula": "HfSi2Sn",
  "functional": "PBE",
  "state": "optimized geometry",
  "lattice": [[0.000, 3.408, 3.408], [3.408, 0.000, 3.408], [3.408, 3.408, 0.000]],
  "species": ["Hf", "Si", "Si", "Sn"],
  "frac_coords": [[0.500, 0.500, 0.500], [0.000, 0.000, 0.000], [0.250, 0.250, 0.250], [0.750, 0.750, 0.750]],
  "energy_ev_per_atom": -5.7607,
  "sg": "F-43m, No. 216",
  "m_tot_mub_per_cell": 0.018
}


(4)
{
  "formula": "YMgBiOs",
  "functional": "PBE",
  "state": "optimized geometry",
  "lattice": [[0.000, 3.472, 3.472], [3.472, 0.000, 3.472], [3.472, 3.472, 0.000]],
  "species": ["Bi", "Mg", "Os", "Y"],
  "frac_coords": [[0.000, 0.000, 0.000], [0.750, 0.750, 0.750], [0.250, 0.250, 0.250], [0.500, 0.500, 0.500]],
  "relative_energy_ev_per_fu": 0.00,
  "sg": "F-43m, No. 216",
  "m_tot_mub_per_cell": 0.000
}